Compound: YHo2Rh3
Source: Alexandria
Functional: PBE
Structure: relaxed

Energy relative to the elements (eV per atom): -0.89
Size of the total moment (μB per formula unit): 0.00
Total energy (eV per cell): -85.98
Crystal system: trigonal

a b c (Å): 4.838 4.838 11.820
angles (deg): 90.00 90.00 120.00
Fractional coordinates of all 12 atoms:
Y (0.333, 0.667, 0.667)
Y (0.667, 0.333, 0.333)
Ho (0.000, 0.000, 0.500)
Ho (0.333, 0.667, 0.166)
Ho (0.667, 0.333, 0.834)
Ho (0.000, 0.000, 0.000)
Rh (0.333, 0.667, 0.417)
Rh (0.667, 0.333, 0.082)
Rh (0.000, 0.000, 0.752)
Rh (0.000, 0.000, 0.248)
Rh (0.333, 0.667, 0.918)
Rh (0.667, 0.333, 0.583)